Material: NaP2NO
Method: DFT, PBE-GGA
State: relaxed

Lattice parameters (Å, degrees): 4.9459 4.9459 4.0621 90.00 90.00 90.00
Fractional positions:
P  0.0000  0.5000  0.0000
P  0.5000  0.0000  0.0000
N  0.5000  0.5000  0.5000
O  0.0000  0.0000  0.5000
Na  0.0000  0.0000  0.0000

Computed properties:
The space group is P4/mmm. The calculation puts the formation energy from raw total energies at 11.26 eV/f.u. For the relative energy among the computed polymorphs, the calculation gives 1539 meV/atom. The total DFT energy (no corrections) comes out at -14.2 eV/cell.